The following is a DFT calculation (GGA-PBEsol) of a relaxed TeAsAu2 crystal.

## Properties
E above lowest polymorph (meV/atom): 158
Raw formation energy (meV per atom): 181

Cell: 3.539 3.902 12.173 Å, 90.00 90.00 90.00°
Space group Imm2 (No. 44)
Unique sites:
Te: 0.000 0.000 0.000 [2 per cell]
As: 0.000 0.500 0.696 [2 per cell]
Au: 0.000 0.000 0.405 [2 per cell]
Au: 0.000 0.500 0.239 [2 per cell]


The following is a DFT calculation (GGA-PBEsol) of a relaxed BeAg2SnCl crystal.

## Properties
Raw formation energy (meV per atom): 981

Cell: 4.749 4.749 5.535 Å, 90.00 90.00 90.00°
Space group P4/mmm (No. 123)
Unique sites:
Be: 0.000 0.000 0.000 [1 per cell]
Ag: 0.000 0.500 0.500 [2 per cell]
Sn: 0.500 0.500 0.000 [1 per cell]
Cl: 0.500 0.500 0.500 [1 per cell]


The following is a DFT calculation (GGA-PBEsol) of a relaxed Be2FeRu crystal.

## Properties
E (eV per atom): -6.933

Cell: 3.719 3.719 2.880 Å, 90.00 90.00 90.00°
Space group P4/mmm (No. 123)
Unique sites:
Be: 0.000 0.500 0.000 [2 per cell]
Fe: 0.000 0.000 0.500 [1 per cell]
Ru: 0.500 0.500 0.500 [1 per cell]